Here is a geometry-optimized Tb4C2Br3 structure from Alexandria. Energies are from PBE.

Cell lengths 10.8308, 3.7111, 20.6569 Å; angles 90.00, 90.00, 90.00 degrees
Space group Pnma (No. 62)
Asymmetric unit:
Tb1 0.1070 0.2500 0.1708 [4 per cell]
Tb2 0.1264 0.2500 0.7554 [4 per cell]
Tb3 0.1293 0.2500 0.9192 [4 per cell]
Tb4 0.1385 0.2500 0.3304 [4 per cell]
C1 0.1216 0.7500 0.2489 [4 per cell]
C2 0.1264 0.7500 0.8434 [4 per cell]
Br1 0.1177 0.7500 0.4437 [4 per cell]
Br2 0.1289 0.7500 0.6428 [4 per cell]
Br3 0.1304 0.7500 0.0461 [4 per cell]

## Properties
Formation energy (no corrections)   -1.1492 eV per atom
Magnetization   0.00 μB per formula unit